VASP calculation (GGA-PBE) on a geometry-optimized HfMoOs structure.

Values from the calculation:
E: -10.710 eV/atom
Calculated density: 14.35 g cm⁻³
Energy relative to the elements: -0.0382 eV/atom

Cell lengths 4.309, 6.576, 6.576 Å; angles 120.08, 90.00, 90.00 degrees
Sites, in units of the cell vectors:
Hf1 0.000 0.000 0.000
Hf2 0.000 0.121 0.560
Hf3 0.000 0.560 0.121
Mo1 0.000 0.560 0.560
Mo2 0.500 0.227 0.893
Mo3 0.500 0.893 0.227
Os1 0.500 0.313 0.313
Os2 0.500 0.560 0.807
Os3 0.500 0.807 0.560